Entry 1:
Na5CrP2O8F2: PBEsol geometry, meta-GGA SCAN.

## Properties
E_tot in Ry per atom: -0.6716
N(E_F) in states/eV per cell: 0.00
Energy relative to the elements, uncorrected in eV/atom: -2.6267

a = 6.662 Å, b = 10.557 Å, c = 10.557 Å
α = 120.00°, β = 90.00°, γ = 90.00°
Element x y z (fractional)
Na 0.428 0.333 0.667
Na 0.500 0.000 0.000
Na 0.572 0.667 0.333
Na 0.988 0.333 0.667
Na 0.761 0.828 0.685
Na 0.239 0.685 0.857
Na 0.500 0.500 0.000
Na 0.761 0.857 0.172
Na 0.239 0.172 0.315
Na 0.761 0.315 0.143
Na 0.500 0.500 0.500
Na 0.012 0.667 0.333
Na 0.000 0.000 0.000
Na 0.239 0.143 0.828
Na 0.500 0.000 0.500
Cr 0.000 0.000 0.500
Cr 0.000 0.500 0.000
Cr 0.000 0.500 0.500
P 0.750 0.186 0.369
P 0.750 0.183 0.814
P 0.750 0.631 0.817
P 0.250 0.817 0.186
P 0.250 0.369 0.183
P 0.250 0.814 0.631
O 0.547 0.260 0.431
O 0.789 0.577 0.651
O 0.547 0.171 0.740
O 0.211 0.651 0.074
O 0.756 0.107 0.201
O 0.453 0.829 0.260
O 0.453 0.740 0.569
O 0.244 0.201 0.094
O 0.547 0.569 0.829
O 0.073 0.433 0.136
O 0.927 0.567 0.864
O 0.453 0.431 0.171
O 0.927 0.298 0.433
O 0.789 0.349 0.926
O 0.789 0.074 0.423
O 0.211 0.423 0.349
O 0.756 0.094 0.893
O 0.927 0.136 0.702
O 0.244 0.893 0.799
O 0.211 0.926 0.577
O 0.244 0.906 0.107
O 0.073 0.864 0.298
O 0.073 0.702 0.567
O 0.756 0.799 0.906
F 0.201 0.377 0.860
F 0.799 0.623 0.140
F 0.201 0.140 0.517
F 0.799 0.517 0.377
F 0.201 0.483 0.623
F 0.799 0.860 0.483

=====

Entry 2:
Nb2CrF: PBEsol geometry, meta-GGA SCAN.

## Properties
E_tot in Ry per atom: -1.6107
N(E_F) in states/eV per cell: 4.07
Energy relative to the elements, uncorrected in eV/atom: 0.1314

a = 4.294 Å, b = 4.294 Å, c = 4.294 Å
α = 60.00°, β = 60.00°, γ = 60.00°
Element x y z (fractional)
Cr 0.500 0.500 0.500
Nb 0.250 0.250 0.250
Nb 0.750 0.750 0.750
F 0.000 0.000 0.000

=====

Entry 3:
NbCrReF2: PBEsol geometry, meta-GGA SCAN.

## Properties
E_tot in Ry per atom: -1.8878
N(E_F) in states/eV per cell: 3.68
Energy relative to the elements, uncorrected in eV/atom: 0.2541

a = 3.917 Å, b = 3.917 Å, c = 4.904 Å
α = 90.00°, β = 90.00°, γ = 90.00°
Element x y z (fractional)
Re 0.000 0.000 0.000
Nb 0.500 0.500 0.500
F 0.000 0.500 0.000
F 0.500 0.000 0.000
Cr 0.000 0.000 0.500

=====

Entry 4:
ZrNbCrF2: PBEsol geometry, meta-GGA SCAN.

## Properties
E_tot in Ry per atom: -1.3680
N(E_F) in states/eV per cell: 2.28
Energy relative to the elements, uncorrected in eV/atom: -0.7545

a = 3.844 Å, b = 3.844 Å, c = 5.605 Å
α = 90.00°, β = 90.00°, γ = 90.00°
Element x y z (fractional)
Cr 0.000 0.000 0.000
Nb 0.000 0.000 0.500
Zr 0.500 0.500 0.500
F 0.000 0.500 0.000
F 0.500 0.000 0.000

=====

Entry 5:
CrNiF6: PBEsol geometry, meta-GGA SCAN.

## Properties
E_tot in Ry per atom: -0.7008
N(E_F) in states/eV per cell: 5.11
Energy relative to the elements, uncorrected in eV/atom: -2.5599

a = 4.850 Å, b = 4.850 Å, c = 5.193 Å
α = 62.16°, β = 62.16°, γ = 60.00°
Element x y z (fractional)
Ni 0.000 0.000 0.000
F 0.258 0.608 0.257
F 0.877 0.258 0.257
F 0.608 0.877 0.257
F 0.392 0.123 0.743
F 0.123 0.742 0.743
F 0.742 0.392 0.743
Cr 0.500 0.500 0.500

=====

Entry 6:
Cr2NiF: PBEsol geometry, meta-GGA SCAN.

## Properties
E_tot in Ry per atom: -1.0142
N(E_F) in states/eV per cell: 4.11
Energy relative to the elements, uncorrected in eV/atom: 0.3220

a = 3.904 Å, b = 3.904 Å, c = 3.904 Å
α = 60.00°, β = 60.00°, γ = 60.00°
Element x y z (fractional)
Ni 0.500 0.500 0.500
F 0.000 0.000 0.000
Cr 0.250 0.250 0.250
Cr 0.750 0.750 0.750

=====

Entry 7:
Sc2CrNiF: PBEsol geometry, meta-GGA SCAN.

## Properties
E_tot in Ry per atom: -0.9860
N(E_F) in states/eV per cell: 4.09
Energy relative to the elements, uncorrected in eV/atom: -0.1003

a = 3.646 Å, b = 5.000 Å, c = 5.000 Å
α = 90.00°, β = 90.00°, γ = 90.00°
Element x y z (fractional)
Sc 0.000 0.000 0.500
Sc 0.000 0.500 0.000
Ni 0.000 0.000 0.000
F 0.500 0.000 0.000
Cr 0.500 0.500 0.500

=====

Entry 8:
Cr4O3F9: PBEsol geometry, meta-GGA SCAN.

## Properties
E_tot in Ry per atom: -0.7685
N(E_F) in states/eV per cell: 0.48
Energy relative to the elements, uncorrected in eV/atom: -2.7008

a = 4.872 Å, b = 5.161 Å, c = 8.578 Å
α = 72.78°, β = 89.29°, γ = 61.95°
Element x y z (fractional)
Cr 0.743 0.502 0.250
Cr 0.517 0.012 0.496
Cr 0.277 0.483 0.756
Cr 0.960 0.003 0.992
O 0.827 0.748 0.087
O 0.687 0.240 0.815
O 0.673 0.258 0.415
F 0.820 0.751 0.686
F 0.764 0.730 0.385
F 0.730 0.271 0.115
F 0.320 0.754 0.566
F 0.311 0.769 0.183
F 0.244 0.748 0.877
F 0.258 0.250 0.624
F 0.180 0.246 0.938
F 0.190 0.233 0.313

=====

Entry 9:
CrPO4F: PBEsol geometry, meta-GGA SCAN.

## Properties
E_tot in Ry per atom: -0.7780
N(E_F) in states/eV per cell: 1.63
Energy relative to the elements, uncorrected in eV/atom: -2.4071

a = 5.062 Å, b = 5.085 Å, c = 7.144 Å
α = 107.38°, β = 109.10°, γ = 96.58°
Element x y z (fractional)
Cr 0.000 0.000 0.000
Cr 0.000 0.000 0.500
P 0.326 0.643 0.760
P 0.674 0.357 0.240
O 0.641 0.771 0.916
O 0.252 0.782 0.591
O 0.298 0.325 0.653
O 0.871 0.316 0.113
O 0.129 0.684 0.887
O 0.702 0.675 0.347
O 0.748 0.218 0.409
O 0.359 0.229 0.084
F 0.112 0.944 0.264
F 0.888 0.056 0.736

=====

Entry 10:
CrPO2F: PBEsol geometry, meta-GGA SCAN.

## Properties
E_tot in Ry per atom: -0.7325
N(E_F) in states/eV per cell: 1.95
Energy relative to the elements, uncorrected in eV/atom: -1.0085

a = 3.482 Å, b = 3.482 Å, c = 4.756 Å
α = 90.00°, β = 90.00°, γ = 90.00°
Element x y z (fractional)
Cr 0.000 0.000 0.000
F 0.500 0.500 0.500
O 0.000 0.500 0.000
O 0.500 0.000 0.000
P 0.000 0.000 0.500

=====

Entry 11:
CrPO2F: PBEsol geometry, meta-GGA SCAN.

## Properties
E_tot in Ry per atom: -0.6204
N(E_F) in states/eV per cell: 4.97
Energy relative to the elements, uncorrected in eV/atom: 0.5157

a = 3.360 Å, b = 4.183 Å, c = 4.183 Å
α = 90.00°, β = 90.00°, γ = 90.00°
Element x y z (fractional)
Cr 0.500 0.500 0.500
F 0.000 0.000 0.000
O 0.000 0.000 0.500
O 0.000 0.500 0.000
P 0.500 0.000 0.000

=====

Entry 12:
ZnCr6Si2Pb10O32F2: PBEsol geometry, meta-GGA SCAN.

## Properties
E_tot in Ry per atom: -1.6752
N(E_F) in states/eV per cell: 0.00
Energy relative to the elements, uncorrected in eV/atom: -1.8837

a = 9.505 Å, b = 9.832 Å, c = 9.928 Å
α = 65.64°, β = 71.56°, γ = 68.74°
Element x y z (fractional)
Zn 0.500 0.000 0.500
Cr 0.041 0.645 0.288
Cr 0.959 0.355 0.712
Cr 0.744 0.840 0.987
Cr 0.256 0.160 0.013
Cr 0.766 0.166 0.509
Cr 0.234 0.834 0.491
Si 0.475 0.338 0.208
Si 0.525 0.662 0.792
Pb 0.369 0.748 0.154
Pb 0.631 0.252 0.846
Pb 0.340 0.349 0.567
Pb 0.660 0.651 0.433
Pb 0.169 0.969 0.791
Pb 0.831 0.031 0.209
Pb 0.148 0.239 0.325
Pb 0.852 0.761 0.675
Pb 0.769 0.465 0.081
Pb 0.231 0.535 0.919
O 0.989 0.509 0.273
O 0.011 0.491 0.727
O 0.195 0.572 0.363
O 0.805 0.428 0.637
O 0.108 0.264 0.607
O 0.892 0.736 0.393
O 0.082 0.772 0.122
O 0.918 0.228 0.878
O 0.647 0.727 0.138
O 0.353 0.273 0.862
O 0.642 0.942 0.857
O 0.358 0.058 0.143
O 0.792 0.963 0.026
O 0.208 0.037 0.974
O 0.900 0.721 0.920
O 0.100 0.279 0.080
O 0.883 0.078 0.625
O 0.117 0.922 0.375
O 0.854 0.258 0.343
O 0.146 0.742 0.657
O 0.713 0.032 0.486
O 0.287 0.968 0.514
O 0.614 0.289 0.577
O 0.386 0.711 0.423
O 0.510 0.492 0.207
O 0.490 0.508 0.793
O 0.429 0.228 0.385
O 0.571 0.772 0.615
O 0.361 0.742 0.887
O 0.639 0.258 0.113
O 0.325 0.381 0.137
O 0.675 0.619 0.863
F 0.384 0.071 0.684
F 0.616 0.929 0.316

=====

Entry 13:
CrRuO2F: PBEsol geometry, meta-GGA SCAN.

## Properties
E_tot in Ry per atom: -1.1013
N(E_F) in states/eV per cell: 3.26
Energy relative to the elements, uncorrected in eV/atom: -1.1412

a = 3.756 Å, b = 3.756 Å, c = 3.812 Å
α = 90.00°, β = 90.00°, γ = 90.00°
Element x y z (fractional)
Ru 0.500 0.500 0.500
F 0.000 0.000 0.500
O 0.000 0.500 0.000
O 0.500 0.000 0.000
Cr 0.000 0.000 0.000

=====

Entry 14:
CrRuOF2: PBEsol geometry, meta-GGA SCAN.

## Properties
E_tot in Ry per atom: -1.0731
N(E_F) in states/eV per cell: 2.68
Energy relative to the elements, uncorrected in eV/atom: -1.2960

a = 3.802 Å, b = 3.924 Å, c = 3.924 Å
α = 90.00°, β = 90.00°, γ = 90.00°
Element x y z (fractional)
Ru 0.500 0.500 0.500
F 0.000 0.000 0.500
F 0.000 0.500 0.000
O 0.500 0.000 0.000
Cr 0.000 0.000 0.000

=====

Entry 15:
CrSeO2F: PBEsol geometry, meta-GGA SCAN.

## Properties
E_tot in Ry per atom: -0.8413
N(E_F) in states/eV per cell: 3.09
Energy relative to the elements, uncorrected in eV/atom: -0.5533

a = 3.652 Å, b = 3.652 Å, c = 5.064 Å
α = 90.00°, β = 90.00°, γ = 90.00°
Element x y z (fractional)
Cr 0.000 0.000 0.500
O 0.000 0.500 0.000
O 0.500 0.000 0.000
Se 0.000 0.000 0.000
F 0.500 0.500 0.500

=====

Entry 16:
CrSeO2F: PBEsol geometry, meta-GGA SCAN.

## Properties
E_tot in Ry per atom: -0.8844
N(E_F) in states/eV per cell: 2.05
Energy relative to the elements, uncorrected in eV/atom: -1.1400

a = 3.807 Å, b = 3.815 Å, c = 3.815 Å
α = 90.00°, β = 90.00°, γ = 90.00°
Element x y z (fractional)
Cr 0.000 0.000 0.000
O 0.000 0.000 0.500
O 0.000 0.500 0.000
Se 0.500 0.500 0.500
F 0.500 0.000 0.000

=====

Entry 17:
CrSiOF2: PBEsol geometry, meta-GGA SCAN.

## Properties
E_tot in Ry per atom: -0.7218
N(E_F) in states/eV per cell: 2.03
Energy relative to the elements, uncorrected in eV/atom: -1.4786

a = 3.865 Å, b = 3.941 Å, c = 3.941 Å
α = 90.00°, β = 90.00°, γ = 90.00°
Element x y z (fractional)
Cr 0.000 0.000 0.000
Si 0.500 0.500 0.500
O 0.500 0.000 0.000
F 0.000 0.000 0.500
F 0.000 0.500 0.000

=====

Entry 18:
CrSnOF2: PBEsol geometry, meta-GGA SCAN.

## Properties
E_tot in Ry per atom: -1.0882
N(E_F) in states/eV per cell: 0.51
Energy relative to the elements, uncorrected in eV/atom: -1.2817

a = 4.094 Å, b = 4.378 Å, c = 4.378 Å
α = 90.00°, β = 90.00°, γ = 90.00°
Element x y z (fractional)
Cr 0.500 0.500 0.500
Sn 0.000 0.000 0.000
O 0.500 0.000 0.000
F 0.000 0.000 0.500
F 0.000 0.500 0.000

=====

Entry 19:
CrSnO2F: PBEsol geometry, meta-GGA SCAN.

## Properties
E_tot in Ry per atom: -1.1264
N(E_F) in states/eV per cell: 3.24
Energy relative to the elements, uncorrected in eV/atom: -1.2640

a = 4.027 Å, b = 4.027 Å, c = 4.183 Å
α = 90.00°, β = 90.00°, γ = 90.00°
Element x y z (fractional)
Cr 0.500 0.500 0.500
Sn 0.000 0.000 0.000
O 0.000 0.500 0.000
O 0.500 0.000 0.000
F 0.000 0.000 0.500

=====

Entry 20:
Sr5Cr3O12F: PBEsol geometry, meta-GGA SCAN.

## Properties
E_tot in Ry per atom: -1.0663
N(E_F) in states/eV per cell: 17.30
Energy relative to the elements, uncorrected in eV/atom: -2.8486

a = 7.228 Å, b = 9.882 Å, c = 9.882 Å
α = 120.00°, β = 90.00°, γ = 90.00°
Element x y z (fractional)
Sr 0.001 0.333 0.667
Sr 0.501 0.667 0.333
Sr 0.999 0.667 0.333
Sr 0.499 0.333 0.667
Sr 0.750 0.763 0.769
Sr 0.750 0.005 0.237
Sr 0.750 0.231 0.995
Sr 0.250 0.237 0.231
Sr 0.250 0.995 0.763
Sr 0.250 0.769 0.005
Cr 0.750 0.971 0.598
Cr 0.750 0.627 0.029
Cr 0.750 0.402 0.373
Cr 0.250 0.029 0.402
Cr 0.250 0.373 0.971
Cr 0.250 0.598 0.627
O 0.750 0.169 0.690
O 0.750 0.520 0.831
O 0.750 0.310 0.480
O 0.250 0.831 0.310
O 0.250 0.480 0.169
O 0.250 0.690 0.520
O 0.750 0.877 0.399
O 0.750 0.522 0.123
O 0.750 0.601 0.478
O 0.250 0.123 0.601
O 0.250 0.478 0.877
O 0.250 0.399 0.522
O 0.935 0.908 0.655
O 0.935 0.747 0.092
O 0.935 0.345 0.253
O 0.435 0.092 0.345
O 0.435 0.253 0.908
O 0.435 0.655 0.747
O 0.065 0.092 0.345
O 0.065 0.253 0.908
O 0.065 0.655 0.747
O 0.565 0.908 0.655
O 0.565 0.747 0.092
O 0.565 0.345 0.253
F 0.000 0.000 0.000
F 0.500 0.000 0.000